No. 1
# PBE KCuBr2, optimized geometry
# **Magnetic moment**: 0.000 μB per cell
# **Energy relative to the elements, uncorrected**: -0.824 eV per atom
# **Space group**: Immm, No. 71
data_KCuBr2
_chemical_formula_sum 'K1 Cu1 Br2'
_cell_length_a 5.868
_cell_length_b 5.868
_cell_length_c 5.868
_cell_angle_alpha 140.90
_cell_angle_beta 107.44
_cell_angle_gamma 85.65
_symmetry_space_group_name_H-M 'P 1'
_symmetry_Int_Tables_number 1
loop_
_symmetry_equiv_pos_as_xyz
'x,y,z'
loop_
_atom_site_label
_atom_site_fract_x
_atom_site_fract_y
_atom_site_fract_z
Br1 0.945 0.945 0.000
Br2 0.555 0.555 0.000
Cu1 0.750 0.250 0.500
K1 0.250 0.750 0.500

=====

No. 2
# PBE AlTc2P, optimized geometry
# **DFT total energy**: -31.2 eV per cell
# **Magnetic moment**: 0.000 μB per cell
# **Space group**: Imm2, No. 44
data_AlTc2P
_chemical_formula_sum 'Al1 Tc2 P1'
_cell_length_a 5.534
_cell_length_b 5.534
_cell_length_c 5.534
_cell_angle_alpha 148.61
_cell_angle_beta 139.56
_cell_angle_gamma 52.07
_symmetry_space_group_name_H-M 'P 1'
_symmetry_Int_Tables_number 1
loop_
_symmetry_equiv_pos_as_xyz
'x,y,z'
loop_
_atom_site_label
_atom_site_fract_x
_atom_site_fract_y
_atom_site_fract_z
P1 0.221 0.721 0.500
Tc1 0.034 0.034 0.000
Tc2 0.780 0.280 0.500
Al1 0.465 0.465 0.000

=====

No. 3
# PBE NpUCoTc, optimized geometry
# **DFT total energy**: -42.1 eV per cell
# **Magnetic moment**: 1.654 μB per cell
# **Space group**: F-43m, No. 216
data_NpUCoTc
_chemical_formula_sum 'Np1 U1 Co1 Tc1'
_cell_length_a 4.496
_cell_length_b 4.496
_cell_length_c 4.496
_cell_angle_alpha 60.00
_cell_angle_beta 60.00
_cell_angle_gamma 60.00
_symmetry_space_group_name_H-M 'P 1'
_symmetry_Int_Tables_number 1
loop_
_symmetry_equiv_pos_as_xyz
'x,y,z'
loop_
_atom_site_label
_atom_site_fract_x
_atom_site_fract_y
_atom_site_fract_z
Np1 0.500 0.500 0.500
Co1 0.250 0.250 0.250
U1 0.750 0.750 0.750
Tc1 0.000 0.000 0.000